Ac2NiBPt4 | the Alexandria database | PBE | optimized geometry; formation enthalpy at 0 K = -679 meV/atom; density = 13.43 Mg/m³; total magnetic moment = 0.0 μB per formula unit; volume = 322.5 Å³ per cell; total DFT energy (no corrections) = -100.55 eV for the cell shown
1.0
-5.081 3.430 -0.120
-4.648 -1.507 -2.928
-6.346 -3.615 8.725
B Pt Ac Ni
2 8 4 2
direct
0.250 0.500 0.500
0.500 0.000 0.000
0.416 0.694 0.365
0.531 0.194 0.135
0.334 0.806 0.135
0.219 0.306 0.365
0.476 0.306 0.635
0.889 0.694 0.635
0.861 0.806 0.865
0.274 0.194 0.865
0.812 0.000 0.376
0.562 0.500 0.876
0.188 0.000 0.624
0.938 0.500 0.124
0.750 0.500 0.500
0.000 0.000 0.000